Record 1
{
  "formula": "In2Fe2Pb",
  "functional": "PBE",
  "state": "relaxed",
  "e_form_ev_per_fu": 1.55,
  "cell": [[3.4137, 0.0000, 0.0000], [0.0000, 3.4137, 0.0000], [1.7068, 1.7068, 9.2219]],
  "species": ["In", "In", "Fe", "Fe", "Pb"],
  "frac_coords": [[0.3689, 0.3689, 0.2622], [0.6311, 0.6311, 0.7378], [0.7500, 0.2500, 0.5000], [0.2500, 0.7500, 0.5000], [0.0000, 0.0000, 0.0000]]
}



Record 2
{
  "formula": "In2FePb",
  "functional": "PBE",
  "state": "relaxed",
  "e_form_ev_per_fu": 1.14,
  "cell": [[-2.5595, 1.8762, -0.4389], [-1.8549, -2.3138, 1.2123], [1.1193, 3.4825, 8.3592]],
  "species": ["In", "In", "Pb", "Fe"],
  "frac_coords": [[0.5000, 0.5000, 0.2276], [0.0000, 0.0000, 0.9507], [0.0000, 0.0000, 0.5538], [0.5000, 0.5000, 0.7679]]
}



Record 3
{
  "formula": "In2FePb",
  "functional": "PBE",
  "state": "relaxed",
  "e_form_ev_per_fu": 1.08,
  "cell": [[-1.3739, -2.4997, -1.6650], [1.7761, 0.6661, -2.4656], [6.2979, -5.4944, 3.0524]],
  "species": ["Pb", "In", "In", "Fe"],
  "frac_coords": [[0.5000, 0.5000, 0.2500], [0.0000, 0.0000, 0.5623], [0.0000, 0.0000, 0.9377], [0.5000, 0.5000, 0.7500]]
}



Record 4
{
  "formula": "InFePb",
  "functional": "PBE",
  "state": "relaxed",
  "e_form_ev_per_fu": 1.22,
  "cell": [[-4.5122, 5.1021, -1.3103], [-6.7910, 1.2415, -0.6706], [5.5148, -2.7240, 3.2057]],
  "species": ["Pb", "Fe", "In"],
  "frac_coords": [[0.3591, 0.3591, 0.0000], [0.0086, 0.0086, 0.0000], [0.6323, 0.6323, 0.0000]]
}



Record 5
{
  "formula": "In2FePb",
  "functional": "PBE",
  "state": "relaxed",
  "e_form_ev_per_fu": 1.86,
  "cell": [[-4.6508, 1.2495, 2.6497], [0.5402, -5.4524, -0.4381], [1.6262, -0.0709, 2.8878]],
  "species": ["In", "In", "Fe", "Pb"],
  "frac_coords": [[0.5000, 0.5000, 0.0000], [0.0000, 0.0000, 0.0000], [0.0000, 0.5000, 0.5000], [0.5000, 0.0000, 0.5000]]
}



Record 6
{
  "formula": "InFePb",
  "functional": "PBE",
  "state": "relaxed",
  "e_form_ev_per_fu": 1.65,
  "cell": [[-4.6236, -0.1519, 0.9320], [1.7461, -2.3915, -3.6744], [0.5163, -2.8458, 2.0975]],
  "species": ["Pb", "Fe", "In"],
  "frac_coords": [[0.3333, 0.6667, 0.6846], [0.0000, 0.0000, 0.1316], [0.6667, 0.3333, 0.1839]]
}



Record 7
{
  "formula": "In2FePb",
  "functional": "PBE",
  "state": "relaxed",
  "e_form_ev_per_fu": 1.79,
  "cell": [[5.6007, -0.0346, 0.0000], [2.0001, 5.2315, 0.0000], [-3.8004, -2.5984, 3.1897]],
  "species": ["In", "In", "Pb", "Fe"],
  "frac_coords": [[0.2500, 0.7500, 0.5000], [0.0000, 0.0000, 0.0000], [0.5000, 0.5000, 0.0000], [0.7500, 0.2500, 0.5000]]
}



Record 8
{
  "formula": "In2FePb",
  "functional": "PBE",
  "state": "relaxed",
  "e_form_ev_per_fu": 2.92,
  "cell": [[-0.1799, 2.4905, 4.3683], [1.7333, 4.7153, 0.2809], [-3.2106, 3.8302, 0.5819]],
  "species": ["In", "In", "Fe", "Pb"],
  "frac_coords": [[0.7500, 0.7500, 0.7500], [0.2500, 0.2500, 0.2500], [0.0000, 0.0000, 0.0000], [0.5000, 0.5000, 0.5000]]
}



Record 9
{
  "formula": "In2FePb",
  "functional": "PBE",
  "state": "relaxed",
  "e_form_ev_per_fu": 1.35,
  "cell": [[-8.6739, -2.7344, 3.9377], [-6.6159, -4.7385, 5.6566], [-7.1389, -1.5964, 6.6863]],
  "species": ["In", "In", "Fe", "Pb"],
  "frac_coords": [[0.0163, 0.0163, 0.0163], [0.4837, 0.4837, 0.4837], [0.7500, 0.7500, 0.7500], [0.2500, 0.2500, 0.2500]]
}



Record 10
{
  "formula": "SrIn2FePb",
  "functional": "PBE",
  "state": "relaxed",
  "e_form_ev_per_fu": 6.97,
  "cell": [[-5.6937, -2.0937, -0.5929], [1.7925, -5.4685, 2.0981], [-1.2465, 1.7768, 5.6958]],
  "species": ["Pb", "In", "In", "Sr", "Fe"],
  "frac_coords": [[0.0000, 0.5000, 0.0000], [0.0000, 0.0000, 0.5000], [0.5000, 0.0000, 0.0000], [0.0000, 0.0000, 0.0000], [0.5000, 0.5000, 0.5000]]
}



Record 11
{
  "formula": "InFeTe2Pb",
  "functional": "PBE",
  "state": "relaxed",
  "formation_energy_uncorrected_kj_per_mol_fu": 352,
  "cell": [[6.0325, 0.0000, 0.0000], [0.0000, 5.0836, 0.0000], [0.0000, 0.0000, 6.0325]],
  "species": ["Te", "Te", "Fe", "In", "Pb"],
  "frac_coords": [[0.5000, 0.0000, 0.0000], [0.0000, 0.0000, 0.5000], [0.0000, 0.5000, 0.0000], [0.5000, 0.5000, 0.5000], [0.0000, 0.0000, 0.0000]]
}



Record 12
{
  "formula": "ZrIn2FePb",
  "functional": "PBE",
  "state": "relaxed",
  "e_form_ev_per_fu": 6.16,
  "cell": [[5.5607, 0.0000, 0.0000], [0.0000, 4.8405, 0.0000], [0.0000, 0.0000, 5.5607]],
  "species": ["In", "In", "Zr", "Pb", "Fe"],
  "frac_coords": [[0.0000, 0.0000, 0.5000], [0.5000, 0.0000, 0.0000], [0.5000, 0.5000, 0.5000], [0.0000, 0.0000, 0.0000], [0.0000, 0.5000, 0.0000]]
}



Record 13
{
  "formula": "InFe2Pd2",
  "functional": "PBE",
  "state": "relaxed",
  "e_form_ev_per_fu": 0.19,
  "cell": [[-7.0576, -2.3244, 0.7957], [1.8356, -6.5975, -2.9916], [0.6240, -1.0050, 2.5991]],
  "species": ["Fe", "Fe", "Fe", "Fe", "Pd", "Pd", "Pd", "Pd", "In", "In"],
  "frac_coords": [[0.3375, 0.1625, 0.5000], [0.1625, 0.6625, 0.5000], [0.8375, 0.3375, 0.5000], [0.6625, 0.8375, 0.5000], [0.1326, 0.3674, 0.0000], [0.3674, 0.8674, 0.0000], [0.8674, 0.6325, 0.0000], [0.6325, 0.1326, 0.0000], [0.0000, 0.0000, 0.0000], [0.5000, 0.5000, 0.0000]]
}



Record 14
{
  "formula": "In2FePd8",
  "functional": "PBE",
  "state": "relaxed",
  "e_form_ev_per_fu": -2.92,
  "cell": [[3.8248, 0.0000, -1.1641], [-1.1540, 6.6762, -3.7918], [0.1533, -0.3026, 7.3696]],
  "species": ["Pd", "Pd", "Pd", "Pd", "Pd", "Pd", "Pd", "Pd", "In", "In", "Fe"],
  "frac_coords": [[0.3371, 0.0871, 0.6742], [0.0000, 0.2460, 0.0000], [0.0000, 0.7540, 0.0000], [0.8373, 0.8373, 0.6745], [0.6629, 0.9129, 0.3258], [0.3371, 0.5872, 0.6742], [0.1627, 0.1627, 0.3255], [0.6629, 0.4128, 0.3258], [0.1610, 0.6610, 0.3219], [0.8390, 0.3390, 0.6781], [0.5000, 0.0000, 0.0000]]
}



Record 15
{
  "formula": "InFePd2",
  "functional": "PBE",
  "state": "relaxed",
  "e_form_ev_per_fu": -0.84,
  "cell": [[3.2223, 0.0000, 0.0000], [0.0000, 3.2223, 0.0000], [0.0000, 0.0000, 6.1926]],
  "species": ["In", "Pd", "Pd", "Fe"],
  "frac_coords": [[0.5000, 0.5000, 0.0000], [0.0000, 0.0000, 0.7265], [0.0000, 0.0000, 0.2735], [0.5000, 0.5000, 0.5000]]
}